[1]
# Ho3Os

A relaxed Ho3Os crystal (GGA-PBEsol, Alexandria via LeMat-Bulk).

The calculated formation energy is -1.0 eV/f.u. The calculation puts the final energy at -28.10 eV per formula unit.

Geometry as CIF:
```
data_Ho3Os
_symmetry_space_group_name_H-M 'P n m a'
_symmetry_Int_Tables_number 62
_cell_length_a 7.2801
_cell_length_b 8.8563
_cell_length_c 6.1709
_cell_angle_alpha 90.00
_cell_angle_beta 90.00
_cell_angle_gamma 90.00
loop_
_symmetry_equiv_pos_as_xyz
'x,y,z'
'-x,-y,-z'
'-x+1/2,-y,z+1/2'
'x+1/2,y,-z+1/2'
'x+1/2,-y+1/2,-z+1/2'
'-x+1/2,y+1/2,z+1/2'
'-x,y+1/2,-z'
'x,-y+1/2,z'
loop_
_atom_site_label
_atom_site_type_symbol
_atom_site_fract_x
_atom_site_fract_y
_atom_site_fract_z
Ho1 Ho 0.0377 0.2500 0.1272
Ho2 Ho 0.1756 0.0621 0.6660
Os1 Os 0.1173 0.7500 0.4587
```

***

[2]
# Ho2OsPd

A relaxed Ho2OsPd crystal (GGA-PBEsol, Alexandria via LeMat-Bulk).

The calculated formation energy is -2.3 eV/f.u. The calculation puts the final energy at -30.33 eV per formula unit.

Geometry as CIF:
```
data_Ho2OsPd
_symmetry_space_group_name_H-M 'F m -3 m'
_symmetry_Int_Tables_number 225
_symmetry_space_group_name_Hall '-F 4 2 3'
_cell_length_a 6.7533
_cell_length_b 6.7533
_cell_length_c 6.7533
_cell_angle_alpha 90.00
_cell_angle_beta 90.00
_cell_angle_gamma 90.00
loop_
_atom_site_label
_atom_site_type_symbol
_atom_site_fract_x
_atom_site_fract_y
_atom_site_fract_z
Ho1 Ho 0.2500 0.2500 0.2500
Os1 Os 0.0000 0.0000 0.0000
Pd1 Pd 0.0000 0.0000 0.5000
```

***

Question: Among the records above, which one has the lowest calculated formation energy?
Answer: Ho2OsPd